## CdNiPt (PBE)

Data for a relaxed structure of CdNiPt.

a b c (Å): 2.897 4.795 7.291
angles (deg): 79.45 89.88 72.52
Atoms (fractional coordinates):
Cd (0.152, 0.202, 0.111)
Cd (0.848, 0.798, 0.889)
Ni (0.355, 0.788, 0.571)
Ni (0.645, 0.212, 0.429)
Pt (0.093, 0.309, 0.706)
Pt (0.907, 0.691, 0.294)

Values from the calculation:
For the formation energy, the calculation gives -0.094 eV per atom. As for the space-group type: No. 2. The calculation puts the electronic total energy at -13.018 eV per formula unit.